Model a:
VBiBr2, optimized geometry, DFT PBE; N(E_F) = 1.72 states/eV/atom; symmetry = No. 225; crystal system = cubic
1.0
0.0000 3.6881 3.6881
3.6881 0.0000 3.6881
3.6881 3.6881 0.0000
V Bi Br
1 1 2
direct
0.0000 0.0000 0.0000
0.5000 0.5000 0.5000
0.2500 0.2500 0.2500
0.7500 0.7500 0.7500

---

Model b:
VBiBr2, optimized geometry, DFT PBE; N(E_F) = 1.08 states/eV/atom; symmetry = No. 166; crystal system = trigonal
1.0
1.8084 1.0441 11.9220
-1.8084 1.0441 11.9220
0.0000 -2.0882 11.9220
V Bi Br
1 1 2
direct
0.0000 0.0000 0.0000
0.5000 0.5000 0.5000
0.3768 0.3768 0.3768
0.6232 0.6232 0.6232

---

Quick one: least stable of them? model a

---

Model a:
VBi2Br2, optimized geometry, DFT PBE; N(E_F) = 0.77 states/eV/atom; symmetry = No. 139; crystal system = tetragonal
1.0
-1.9417 1.9417 10.4553
1.9417 -1.9417 10.4553
1.9417 1.9417 -10.4553
V Bi Br
1 2 2
direct
0.0000 0.0000 0.0000
0.4275 0.4275 0.0000
0.5725 0.5725 0.0000
0.2500 0.7500 0.5000
0.7500 0.2500 0.5000

---

Model b:
VBi2Br2, optimized geometry, DFT PBE; N(E_F) = 0.46 states/eV/atom; symmetry = No. 127; crystal system = tetragonal
1.0
7.5310 0.0000 0.0000
0.0000 7.5310 0.0000
0.0000 0.0000 5.7069
V Bi Br
2 4 4
direct
0.0000 0.0000 0.0000
0.5000 0.5000 0.0000
0.1481 0.3519 0.0000
0.3519 0.8519 0.0000
0.6481 0.1481 0.0000
0.8519 0.6481 0.0000
0.2090 0.2910 0.5000
0.2910 0.7910 0.5000
0.7090 0.2090 0.5000
0.7910 0.7090 0.5000

---

Quick one: least stable of them? model a

---

Model a:
Bi2W2Br, optimized geometry, DFT PBE; N(E_F) = 0.57 states/eV/atom; symmetry = No. 127; crystal system = tetragonal
1.0
9.5663 0.0000 0.0000
0.0000 9.5663 0.0000
0.0000 0.0000 3.0150
Bi W Br
4 4 2
direct
0.1732 0.3268 0.0000
0.3268 0.8268 0.0000
0.6732 0.1732 0.0000
0.8268 0.6732 0.0000
0.0853 0.5853 0.5000
0.4147 0.0853 0.5000
0.5853 0.9147 0.5000
0.9147 0.4147 0.5000
0.0000 0.0000 0.0000
0.5000 0.5000 0.0000

---

Model b:
Bi2W2Br, optimized geometry, DFT PBE; N(E_F) = 0.62 states/eV/atom; symmetry = No. 139; crystal system = tetragonal
1.0
-1.8493 1.8493 9.3956
1.8493 -1.8493 9.3956
1.8493 1.8493 -9.3956
Bi W Br
2 2 1
direct
0.1210 0.1210 0.0000
0.8790 0.8790 0.0000
0.2500 0.7500 0.5000
0.7500 0.2500 0.5000
0.5000 0.5000 0.0000

---

Quick one: least stable of them? model a

---

Model a:
Bi3WBr, optimized geometry, DFT PBE; N(E_F) = 0.98 states/eV/atom; symmetry = No. 221; crystal system = cubic
1.0
5.4119 0.0000 0.0000
0.0000 5.4119 0.0000
0.0000 0.0000 5.4119
Bi W Br
3 1 1
direct
0.0000 0.0000 0.5000
0.0000 0.5000 0.0000
0.5000 0.0000 0.0000
0.0000 0.0000 0.0000
0.5000 0.5000 0.5000

---

Model b:
Bi3WBr, optimized geometry, DFT PBE; N(E_F) = 0.75 states/eV/atom; symmetry = No. 221; crystal system = cubic
1.0
5.5461 0.0000 0.0000
0.0000 5.5461 0.0000
0.0000 0.0000 5.5461
Bi W Br
3 1 1
direct
0.0000 0.0000 0.5000
0.0000 0.5000 0.0000
0.5000 0.0000 0.0000
0.5000 0.5000 0.5000
0.0000 0.0000 0.0000

---

Quick one: least stable of them? model b

---

Model a:
Bi2WBr, optimized geometry, DFT PBE; N(E_F) = 0.91 states/eV/atom; symmetry = No. 225; crystal system = cubic
1.0
0.0000 3.6966 3.6966
3.6966 0.0000 3.6966
3.6966 3.6966 0.0000
Bi W Br
2 1 1
direct
0.2500 0.2500 0.2500
0.7500 0.7500 0.7500
0.0000 0.0000 0.0000
0.5000 0.5000 0.5000

---

Model b:
Bi2WBr, optimized geometry, DFT PBE; N(E_F) = 1.41 states/eV/atom; symmetry = No. 122; crystal system = tetragonal
1.0
-3.4538 3.4538 6.4859
3.4538 -3.4538 6.4859
3.4538 3.4538 -6.4859
Bi W Br
4 2 2
direct
0.0491 0.6250 0.9241
0.3750 0.2991 0.4241
0.7009 0.1250 0.0759
0.8750 0.9509 0.5759
0.0000 0.0000 0.0000
0.7500 0.2500 0.5000
0.2500 0.7500 0.5000
0.5000 0.5000 0.0000

---

Quick one: least stable of them? model a

---

Model a:
YBiBr2, optimized geometry, DFT PBE; N(E_F) = 0.62 states/eV/atom; symmetry = No. 225; crystal system = cubic
1.0
0.0000 3.7734 3.7734
3.7734 0.0000 3.7734
3.7734 3.7734 0.0000
Y Bi Br
1 1 2
direct
0.0000 0.0000 0.0000
0.5000 0.5000 0.5000
0.2500 0.2500 0.2500
0.7500 0.7500 0.7500

---

Model b:
YBiBr2, optimized geometry, DFT PBE; N(E_F) = 0.70 states/eV/atom; symmetry = No. 166; crystal system = trigonal
1.0
1.8397 1.0621 11.4785
-1.8397 1.0621 11.4785
0.0000 -2.1243 11.4785
Y Bi Br
1 1 2
direct
0.0000 0.0000 0.0000
0.5000 0.5000 0.5000
0.3887 0.3887 0.3887
0.6113 0.6113 0.6113

---

Quick one: least stable of them? model a